Entry 1:
The following is a DFT calculation (PBEsol) of crystalline CsAlP2O at its relaxed geometry.

Cell and atoms, written as extended XYZ:
```
5
Lattice="4.2296 0.0000 0.0000 0.0000 5.3139 0.0000 0.0000 0.0000 5.3139" Properties=species:S:1:pos:R:3 pbc="T T T"
Cs 0.0000 0.0000 0.0000
P 0.0000 2.6569 0.0000
P 0.0000 0.0000 2.6569
Al 2.1148 2.6569 2.6569
O 2.1148 0.0000 0.0000
```

Computed properties:
DOS(E_F)	3.86	states/eV/f.u.
volume	119.4	Å³/cell
crystal system	tetragonal
formation energy (no corrections)	1.494	eV per atom



Entry 2:
The following is a DFT calculation (PBEsol) of crystalline AgSnBr2 at its relaxed geometry.

Cell and atoms, written as extended XYZ:
```
4
Lattice="5.1354 0.0000 0.0000 2.5677 4.4474 0.0000 2.5677 1.4825 4.1931" Properties=species:S:1:pos:R:3 pbc="T T T"
Br 7.7032 4.4474 3.1448
Br 2.5677 1.4825 1.0483
Sn 5.1354 2.9650 2.0965
Ag 0.0000 0.0000 0.0000
```

Computed properties:
DOS(E_F)	1.15	states/eV/f.u.
volume	95.8	Å³/cell
crystal system	cubic
formation energy (no corrections)	-0.129	eV per atom



Entry 3:
The following is a DFT calculation (PBEsol) of crystalline ZrAsRh2 at its relaxed geometry.

Cell and atoms, written as extended XYZ:
```
4
Lattice="-2.1892 0.0561 2.0324 -1.9576 -0.8648 -2.0848 1.2890 -6.7116 1.5739" Properties=species:S:1:pos:R:3 pbc="T T T"
As -1.4289 -3.7602 0.7607
Rh 0.3635 -1.8925 0.4438
Rh 0.9255 -4.8191 1.1301
Zr -2.0734 -0.4043 -0.0262
```

Computed properties:
DOS(E_F)	3.86	states/eV/f.u.
volume	62.6	Å³/cell
crystal system	tetragonal
energy relative to the elements	-0.50	eV/atom



Entry 4:
The following is a DFT calculation (PBEsol) of crystalline BaLaB3 at its relaxed geometry.

Cell and atoms, written as extended XYZ:
```
5
Lattice="-3.7631 2.5300 1.4287 -1.9796 -3.9437 1.7694 2.1268 0.8056 4.1750" Properties=species:S:1:pos:R:3 pbc="T T T"
B -0.9898 -1.9719 0.8847
B -1.8815 1.2650 0.7144
B 1.0634 0.4028 2.0875
Ba 0.0000 0.0000 0.0000
La -1.8080 -0.3041 3.6866
```

Computed properties:
DOS(E_F)	4.58	states/eV/f.u.
volume	107.5	Å³/cell
crystal system	cubic
energy relative to the elements	1.94	eV/atom



Entry 5:
The following is a DFT calculation (PBEsol) of crystalline MgScAl2 at its relaxed geometry.

Cell and atoms, written as extended XYZ:
```
4
Lattice="-0.6443 -2.2694 -2.0948 4.2472 -2.2152 1.0936 -3.4485 -0.7387 4.2366" Properties=species:S:1:pos:R:3 pbc="T T T"
Al 3.9967 -2.1999 1.1541
Al -0.8896 -2.6276 0.7444
Mg -1.7555 -2.8376 3.6140
Sc 1.4030 -2.7545 2.5526
```

Computed properties:
DOS(E_F)	3.34	states/eV/f.u.
volume	77.5	Å³/cell
crystal system	monoclinic
energy relative to the elements	-0.17	eV/atom



Entry 6:
The following is a DFT calculation (PBEsol) of crystalline KYTl2 at its relaxed geometry.

Cell and atoms, written as extended XYZ:
```
4
Lattice="3.5587 0.0000 0.0000 0.0000 5.6707 0.0437 0.0000 -0.0515 5.6707" Properties=species:S:1:pos:R:3 pbc="T T T"
Tl 0.0000 -0.0258 2.8353
Tl 0.0000 2.8354 0.0219
Y 1.7793 2.8096 2.8572
K 1.7793 0.0000 0.0000
```

Computed properties:
DOS(E_F)	2.69	states/eV/f.u.
volume	114.4	Å³/cell
crystal system	orthorhombic
energy relative to the elements	-0.17	eV/atom